Model A:
Density functional theory data (PBE) for an optimized crystal structure of Sm3DyPb2.

```
data_Sm3DyPb2
_cell_length_a 4.622
_cell_length_b 4.622
_cell_length_c 8.772
_cell_angle_alpha 90.00
_cell_angle_beta 90.00
_cell_angle_gamma 90.00
_space_group_name_H-M_alt 'P -4 m 2'
_space_group_IT_number 115
loop_
_space_group_symop_operation_xyz
'x,y,z'
'y,-x,-z'
'-x,-y,z'
'-y,x,-z'
'-x,y,z'
'-y,-x,-z'
'x,-y,z'
'y,x,-z'
loop_
_atom_site_label
_atom_site_fract_x
_atom_site_fract_y
_atom_site_fract_z
Sm1 0.000 0.000 0.000
Sm2 0.000 0.500 0.655
Dy1 0.500 0.500 0.000
Pb1 0.000 0.500 0.283
```

Magnetic moment: 0.0000 μB per atom



Model B:
Density functional theory data (PBE) for an optimized crystal structure of Sm3DyPb2.

```
data_Sm3DyPb2
_cell_length_a 4.963
_cell_length_b 16.263
_cell_length_c 4.472
_cell_angle_alpha 90.00
_cell_angle_beta 90.00
_cell_angle_gamma 90.00
_space_group_name_H-M_alt 'C m m m'
_space_group_IT_number 65
_space_group_name_Hall '-C 2 2'
loop_
_atom_site_label
_atom_site_fract_x
_atom_site_fract_y
_atom_site_fract_z
Sm1 0.000 0.000 0.000
Sm2 0.000 0.324 0.000
Dy1 0.000 0.500 0.500
Pb1 0.000 0.150 0.500
```

Magnetic moment: 0.0000 μB per atom



Which structure is most stable? model A, by 0.048 eV/atom over the runner-up.



Model A:
Density functional theory data (PBE) for an optimized crystal structure of Dy3SnPb2.

```
data_Dy3SnPb2
_cell_length_a 13.095
_cell_length_b 4.526
_cell_length_c 11.887
_cell_angle_alpha 90.00
_cell_angle_beta 90.00
_cell_angle_gamma 90.00
_space_group_name_H-M_alt 'P n m a'
_space_group_IT_number 62
loop_
_space_group_symop_operation_xyz
'x,y,z'
'-x,-y,-z'
'-x+1/2,-y,z+1/2'
'x+1/2,y,-z+1/2'
'x+1/2,-y+1/2,-z+1/2'
'-x+1/2,y+1/2,z+1/2'
'-x,y+1/2,-z'
'x,-y+1/2,z'
loop_
_atom_site_label
_atom_site_fract_x
_atom_site_fract_y
_atom_site_fract_z
Dy1 0.059 0.250 0.108
Dy2 0.132 0.750 0.564
Dy3 0.240 0.750 0.278
Sn1 0.106 0.250 0.378
Pb1 0.029 0.250 0.737
Pb2 0.186 0.750 0.997
```

Magnetic moment: 0.0000 μB per atom



Model B:
Density functional theory data (PBE) for an optimized crystal structure of Dy3SnPb2.

```
data_Dy3SnPb2
_cell_length_a 16.898
_cell_length_b 6.360
_cell_length_c 6.349
_cell_angle_alpha 90.00
_cell_angle_beta 100.86
_cell_angle_gamma 90.00
_space_group_name_H-M_alt 'C 1 2/c 1'
_space_group_IT_number 15
loop_
_space_group_symop_operation_xyz
'x,y,z'
'-x,-y,-z'
'-x,y,-z+1/2'
'x,-y,z+1/2'
'x+1/2,y+1/2,z'
'-x+1/2,-y+1/2,-z'
'-x+1/2,y+1/2,-z+1/2'
'x+1/2,-y+1/2,z+1/2'
loop_
_atom_site_label
_atom_site_fract_x
_atom_site_fract_y
_atom_site_fract_z
Dy1 0.000 0.122 0.250
Dy2 0.164 0.381 0.593
Sn1 0.000 0.383 0.750
Pb1 0.166 0.113 0.078
```

Magnetic moment: 0.0000 μB per atom



Which structure is most stable? model B, by 0.099 eV/atom over the runner-up.



Model A:
Density functional theory data (PBE) for an optimized crystal structure of Tb3DyPb2.

```
data_Tb3DyPb2
_cell_length_a 4.570
_cell_length_b 4.570
_cell_length_c 8.621
_cell_angle_alpha 90.00
_cell_angle_beta 90.00
_cell_angle_gamma 90.00
_space_group_name_H-M_alt 'P -4 m 2'
_space_group_IT_number 115
loop_
_space_group_symop_operation_xyz
'x,y,z'
'y,-x,-z'
'-x,-y,z'
'-y,x,-z'
'-x,y,z'
'-y,-x,-z'
'x,-y,z'
'y,x,-z'
loop_
_atom_site_label
_atom_site_fract_x
_atom_site_fract_y
_atom_site_fract_z
Tb1 0.000 0.000 0.000
Tb2 0.000 0.500 0.658
Dy1 0.500 0.500 0.000
Pb1 0.000 0.500 0.285
```

Magnetic moment: 0.0000 μB per atom



Model B:
Density functional theory data (PBE) for an optimized crystal structure of Tb3DyPb2.

```
data_Tb3DyPb2
_cell_length_a 7.274
_cell_length_b 14.683
_cell_length_c 7.672
_cell_angle_alpha 90.00
_cell_angle_beta 90.00
_cell_angle_gamma 90.00
_space_group_name_H-M_alt 'I b a m'
_space_group_IT_number 72
_space_group_name_Hall '-I 2 2c'
loop_
_atom_site_label
_atom_site_fract_x
_atom_site_fract_y
_atom_site_fract_z
Tb1 0.000 0.000 0.250
Tb2 0.000 0.293 0.250
Dy1 0.000 0.500 0.000
Pb1 0.176 0.143 0.000
```

Magnetic moment: 0.0001 μB per atom



Which structure is most stable? model A, by 0.272 eV/atom over the runner-up.



Model A:
Density functional theory data (PBE) for an optimized crystal structure of Tb2DyPb3.

```
data_Tb2DyPb3
_cell_length_a 16.968
_cell_length_b 6.420
_cell_length_c 6.417
_cell_angle_alpha 90.00
_cell_angle_beta 100.85
_cell_angle_gamma 90.00
_space_group_name_H-M_alt 'C 1 2/c 1'
_space_group_IT_number 15
loop_
_space_group_symop_operation_xyz
'x,y,z'
'-x,-y,-z'
'-x,y,-z+1/2'
'x,-y,z+1/2'
'x+1/2,y+1/2,z'
'-x+1/2,-y+1/2,-z'
'-x+1/2,y+1/2,-z+1/2'
'x+1/2,-y+1/2,z+1/2'
loop_
_atom_site_label
_atom_site_fract_x
_atom_site_fract_y
_atom_site_fract_z
Tb1 0.167 0.125 0.084
Dy1 0.000 0.375 0.250
Pb1 0.000 0.124 0.750
Pb2 0.166 0.375 0.583
```

Magnetic moment: 0.0000 μB per atom



Model B:
Density functional theory data (PBE) for an optimized crystal structure of Tb2DyPb3.

```
data_Tb2DyPb3
_cell_length_a 16.239
_cell_length_b 9.487
_cell_length_c 6.128
_cell_angle_alpha 90.00
_cell_angle_beta 90.00
_cell_angle_gamma 90.00
_space_group_name_H-M_alt 'C m c m'
_space_group_IT_number 63
_space_group_name_Hall '-C 2c 2'
loop_
_atom_site_label
_atom_site_fract_x
_atom_site_fract_y
_atom_site_fract_z
Tb1 0.167 0.182 0.250
Dy1 0.000 0.320 0.750
Pb1 0.000 0.353 0.250
Pb2 0.165 0.146 0.750
```

Magnetic moment: 0.0000 μB per atom



Which structure is most stable? model A, by 0.481 eV/atom over the runner-up.



Model A:
Density functional theory data (PBE) for an optimized crystal structure of TbDyPb.

```
data_TbDyPb
_cell_length_a 3.336
_cell_length_b 3.336
_cell_length_c 18.014
_cell_angle_alpha 90.00
_cell_angle_beta 90.00
_cell_angle_gamma 90.00
_space_group_name_H-M_alt 'I 4 m m'
_space_group_IT_number 107
_space_group_name_Hall 'I 4 -2'
loop_
_atom_site_label
_atom_site_fract_x
_atom_site_fract_y
_atom_site_fract_z
Tb1 0.000 0.000 0.000
Dy1 0.000 0.000 0.808
Pb1 0.000 0.000 0.634
```

Magnetic moment: 0.2903 μB per atom



Model B:
Density functional theory data (PBE) for an optimized crystal structure of TbDyPb.

```
data_TbDyPb
_cell_length_a 5.3195
_cell_length_b 5.3195
_cell_length_c 3.7097
_cell_angle_alpha 90.00
_cell_angle_beta 90.00
_cell_angle_gamma 120.00
_space_group_name_H-M_alt 'P 3 m 1'
_space_group_IT_number 156
loop_
_space_group_symop_operation_xyz
'x,y,z'
'-y,x-y,z'
'-x+y,-x,z'
'-y,-x,z'
'-x+y,y,z'
'x,x-y,z'
loop_
_atom_site_label
_atom_site_fract_x
_atom_site_fract_y
_atom_site_fract_z
Tb1 0.0000 0.0000 0.0000
Dy1 0.6667 0.3333 0.4636
Pb1 0.3333 0.6667 0.7209
```

Magnetic moment: 0.0001 μB per atom



Model C:
Density functional theory data (PBE) for an optimized crystal structure of TbDyPb.

```
data_TbDyPb
_cell_length_a 4.568
_cell_length_b 4.568
_cell_length_c 8.607
_cell_angle_alpha 90.00
_cell_angle_beta 90.00
_cell_angle_gamma 90.00
_space_group_name_H-M_alt 'P 4/n m m'
_space_group_IT_number 129
loop_
_space_group_symop_operation_xyz
'x,y,z'
'-x,-y,-z'
'-y+1/2,x,z'
'y+1/2,-x,-z'
'-x+1/2,-y+1/2,z'
'x+1/2,y+1/2,-z'
'y,-x+1/2,z'
'-y,x+1/2,-z'
'x+1/2,-y,-z'
'-x+1/2,y,z'
'-y,-x,-z'
'y,x,z'
'-x,y+1/2,-z'
'x,-y+1/2,z'
'y+1/2,x+1/2,-z'
'-y+1/2,-x+1/2,z'
loop_
_atom_site_label
_atom_site_fract_x
_atom_site_fract_y
_atom_site_fract_z
Tb1 0.250 0.250 0.158
Dy1 0.250 0.750 0.500
Pb1 0.250 0.250 0.784
```

Magnetic moment: 0.0000 μB per atom



Which structure is most stable? model C, by 0.226 eV/atom over the runner-up.



Model A:
Density functional theory data (PBE) for an optimized crystal structure of TbDy4Pb5.

```
data_TbDy4Pb5
_cell_length_a 3.537
_cell_length_b 3.537
_cell_length_c 22.454
_cell_angle_alpha 90.00
_cell_angle_beta 90.00
_cell_angle_gamma 90.00
_space_group_name_H-M_alt 'P 4/m m m'
_space_group_IT_number 123
_space_group_name_Hall '-P 4 2'
loop_
_atom_site_label
_atom_site_fract_x
_atom_site_fract_y
_atom_site_fract_z
Tb1 0.000 0.000 0.000
Dy1 0.000 0.000 0.201
Dy2 0.000 0.000 0.400
Pb1 0.500 0.500 0.101
Pb2 0.500 0.500 0.300
Pb3 0.500 0.500 0.500
```

Magnetic moment: 0.0000 μB per atom



Model B:
Density functional theory data (PBE) for an optimized crystal structure of TbDy4Pb5.

```
data_TbDy4Pb5
_cell_length_a 9.957
_cell_length_b 9.957
_cell_length_c 6.296
_cell_angle_alpha 90.00
_cell_angle_beta 90.00
_cell_angle_gamma 90.00
_space_group_name_H-M_alt 'I 4'
_space_group_IT_number 79
loop_
_space_group_symop_operation_xyz
'x,y,z'
'-y,x,z'
'-x,-y,z'
'y,-x,z'
'x+1/2,y+1/2,z+1/2'
'-y+1/2,x+1/2,z+1/2'
'-x+1/2,-y+1/2,z+1/2'
'y+1/2,-x+1/2,z+1/2'
loop_
_atom_site_label
_atom_site_fract_x
_atom_site_fract_y
_atom_site_fract_z
Tb1 0.000 0.000 0.000
Dy1 0.100 0.700 0.499
Pb1 0.000 0.000 0.500
Pb2 0.100 0.699 0.999
```

Magnetic moment: 0.0000 μB per atom



Which structure is most stable? model A, by 0.105 eV/atom over the runner-up.